Below is a relaxed ScWN2O crystal, with properties calculated at the GGA+U level.

Summary:
E = -6.7516 eV/atom

Structure (POSCAR):
```
ScWN2O
1.0
4.131 0.000 0.000
0.000 4.131 0.000
0.000 0.000 3.896
Sc W N O
1 1 2 1
direct
0.000 0.000 0.000
0.500 0.500 0.500
0.000 0.500 0.000
0.500 0.000 0.000
0.000 0.000 0.500
```